P) # Rb2Te2Au (GGA-PBE, optimized geometry)
# calculated volume = 390 Å³/cell
# DOS(E_F) = 5.84 states/eV/cell
# total magnetization = 0.00 μB/atom
data_Rb2Te2Au
_chemical_formula_sum 'Rb4 Te4 Au2'
_cell_length_a 8.254
_cell_length_b 11.348
_cell_length_c 4.169
_cell_angle_alpha 90.00
_cell_angle_beta 90.00
_cell_angle_gamma 90.00
_symmetry_space_group_name_H-M 'P b a m'
_symmetry_Int_Tables_number 55
loop_
_symmetry_equiv_pos_as_xyz
'x,y,z'
'-x,-y,-z'
'-x,-y,z'
'x,y,-z'
'x+1/2,-y+1/2,-z'
'-x+1/2,y+1/2,z'
'-x+1/2,y+1/2,-z'
'x+1/2,-y+1/2,z'
loop_
_atom_site_label
_atom_site_fract_x
_atom_site_fract_y
_atom_site_fract_z
Rb1 0.089 0.174 0.000
Te1 0.211 0.438 0.500
Au1 0.000 0.500 0.000

Q) # Rb2Te2Au (GGA-PBE, optimized geometry)
# calculated volume = 814 Å³/cell
# DOS(E_F) = 11.05 states/eV/cell
# total magnetization = 0.00 μB/atom
data_Rb2Te2Au
_chemical_formula_sum 'Rb8 Te8 Au4'
_cell_length_a 4.255
_cell_length_b 25.756
_cell_length_c 7.431
_cell_angle_alpha 90.00
_cell_angle_beta 90.00
_cell_angle_gamma 90.00
_symmetry_space_group_name_H-M 'C m c 21'
_symmetry_Int_Tables_number 36
loop_
_symmetry_equiv_pos_as_xyz
'x,y,z'
'-x,-y,z+1/2'
'-x,y,z'
'x,-y,z+1/2'
'x+1/2,y+1/2,z'
'-x+1/2,-y+1/2,z+1/2'
'-x+1/2,y+1/2,z'
'x+1/2,-y+1/2,z+1/2'
loop_
_atom_site_label
_atom_site_fract_x
_atom_site_fract_y
_atom_site_fract_z
Rb1 0.000 0.050 0.000
Rb2 0.000 0.192 0.649
Te1 0.000 0.187 0.141
Te2 0.000 0.430 0.056
Au1 0.000 0.361 0.797

R) # Rb2Te2Au (GGA-PBE, optimized geometry)
# calculated volume = 358 Å³/cell
# DOS(E_F) = 2.63 states/eV/cell
# total magnetization = 0.00 μB/atom
data_Rb2Te2Au
_chemical_formula_sum 'Rb4 Te4 Au2'
_cell_length_a 7.937
_cell_length_b 7.937
_cell_length_c 5.689
_cell_angle_alpha 90.00
_cell_angle_beta 90.00
_cell_angle_gamma 90.00
_symmetry_space_group_name_H-M 'P 4/m b m'
_symmetry_Int_Tables_number 127
_symmetry_space_group_name_Hall '-P 4 2ab'
loop_
_atom_site_label
_atom_site_fract_x
_atom_site_fract_y
_atom_site_fract_z
Rb1 0.153 0.347 0.000
Te1 0.166 0.666 0.500
Au1 0.000 0.000 0.500

S) # Rb2Te2Au (GGA-PBE, optimized geometry)
# calculated volume = 492 Å³/cell
# DOS(E_F) = 14.64 states/eV/cell
# total magnetization = 0.00 μB/atom
data_Rb2Te2Au
_chemical_formula_sum 'Rb4 Te4 Au2'
_cell_length_a 7.300
_cell_length_b 7.300
_cell_length_c 9.235
_cell_angle_alpha 90.00
_cell_angle_beta 90.00
_cell_angle_gamma 90.00
_symmetry_space_group_name_H-M 'I 4/m m m'
_symmetry_Int_Tables_number 139
_symmetry_space_group_name_Hall '-I 4 2'
loop_
_atom_site_label
_atom_site_fract_x
_atom_site_fract_y
_atom_site_fract_z
Rb1 0.000 0.500 0.250
Te1 0.000 0.000 0.220
Au1 0.000 0.000 0.500

Structures ranked by computed energy, the most stable listed first: Q), P), S), R).

P) # Rb2Te3Au (GGA-PBE, optimized geometry)
# calculated volume = 239 Å³/cell
# DOS(E_F) = 2.62 states/eV/cell
# total magnetization = 0.00 μB/atom
data_Rb2Te3Au
_chemical_formula_sum 'Rb2 Te3 Au1'
_cell_length_a 4.715
_cell_length_b 5.459
_cell_length_c 9.297
_cell_angle_alpha 90.00
_cell_angle_beta 90.00
_cell_angle_gamma 90.00
_symmetry_space_group_name_H-M 'P m m 2'
_symmetry_Int_Tables_number 25
loop_
_symmetry_equiv_pos_as_xyz
'x,y,z'
'-x,-y,z'
'-x,y,z'
'x,-y,z'
loop_
_atom_site_label
_atom_site_fract_x
_atom_site_fract_y
_atom_site_fract_z
Rb1 0.000 0.000 0.000
Rb2 0.500 0.000 0.492
Te1 0.000 0.500 0.376
Te2 0.500 0.500 0.129
Te3 0.500 0.500 0.809
Au1 0.000 0.500 0.661

Q) # Rb2Te3Au (GGA-PBE, optimized geometry)
# calculated volume = 682 Å³/cell
# DOS(E_F) = 5.39 states/eV/cell
# total magnetization = 0.00 μB/atom
data_Rb2Te3Au
_chemical_formula_sum 'Rb4 Te6 Au2'
_cell_length_a 7.8372
_cell_length_b 7.8372
_cell_length_c 12.8258
_cell_angle_alpha 90.00
_cell_angle_beta 90.00
_cell_angle_gamma 120.00
_symmetry_space_group_name_H-M 'P -3 m 1'
_symmetry_Int_Tables_number 164
_symmetry_space_group_name_Hall '-P 3 2"'
loop_
_atom_site_label
_atom_site_fract_x
_atom_site_fract_y
_atom_site_fract_z
Rb1 0.0000 0.0000 0.0000
Rb2 0.0000 0.0000 0.5000
Rb3 0.3333 0.6667 0.2504
Te1 0.1400 0.2800 0.7498
Au1 0.3333 0.6667 0.7493

Structures ranked by computed energy, the most stable listed first: P), Q).

P) # Rb4TeAu (GGA-PBE, optimized geometry)
# calculated volume = 600 Å³/cell
# DOS(E_F) = 7.04 states/eV/cell
# total magnetization = 0.05 μB/atom
data_Rb4TeAu
_chemical_formula_sum 'Rb8 Te2 Au2'
_cell_length_a 9.381
_cell_length_b 6.390
_cell_length_c 10.026
_cell_angle_alpha 90.00
_cell_angle_beta 93.16
_cell_angle_gamma 90.00
_symmetry_space_group_name_H-M 'C 1 2/m 1'
_symmetry_Int_Tables_number 12
loop_
_symmetry_equiv_pos_as_xyz
'x,y,z'
'-x,-y,-z'
'-x,y,-z'
'x,-y,z'
'x+1/2,y+1/2,z'
'-x+1/2,-y+1/2,-z'
'-x+1/2,y+1/2,-z'
'x+1/2,-y+1/2,z'
loop_
_atom_site_label
_atom_site_fract_x
_atom_site_fract_y
_atom_site_fract_z
Rb1 0.144 0.000 0.362
Rb2 0.156 0.500 0.137
Te1 0.000 0.000 0.000
Au1 0.000 0.500 0.500

Q) # Rb4TeAu (GGA-PBE, optimized geometry)
# calculated volume = 1239 Å³/cell
# DOS(E_F) = 7.92 states/eV/cell
# total magnetization = 0.00 μB/atom
data_Rb4TeAu
_chemical_formula_sum 'Rb16 Te4 Au4'
_cell_length_a 11.393
_cell_length_b 16.050
_cell_length_c 8.362
_cell_angle_alpha 90.00
_cell_angle_beta 125.88
_cell_angle_gamma 90.00
_symmetry_space_group_name_H-M 'C 1 2/c 1'
_symmetry_Int_Tables_number 15
loop_
_symmetry_equiv_pos_as_xyz
'x,y,z'
'-x,-y,-z'
'-x,y,-z+1/2'
'x,-y,z+1/2'
'x+1/2,y+1/2,z'
'-x+1/2,-y+1/2,-z'
'-x+1/2,y+1/2,-z+1/2'
'x+1/2,-y+1/2,z+1/2'
loop_
_atom_site_label
_atom_site_fract_x
_atom_site_fract_y
_atom_site_fract_z
Rb1 0.123 0.181 0.083
Rb2 0.199 0.446 0.256
Te1 0.000 0.367 0.750
Au1 0.000 0.005 0.250

Structures ranked by computed energy, the most stable listed first: Q), P).

P) # RbTeAu3 (GGA-PBE, optimized geometry)
# calculated volume = 182 Å³/cell
# DOS(E_F) = 3.04 states/eV/cell
# total magnetization = 0.00 μB/atom
data_RbTeAu3
_chemical_formula_sum 'Rb1 Te1 Au3'
_cell_length_a 5.671
_cell_length_b 5.671
_cell_length_c 5.671
_cell_angle_alpha 90.00
_cell_angle_beta 90.00
_cell_angle_gamma 90.00
_symmetry_space_group_name_H-M 'P m -3 m'
_symmetry_Int_Tables_number 221
_symmetry_space_group_name_Hall '-P 4 2 3'
loop_
_atom_site_label
_atom_site_fract_x
_atom_site_fract_y
_atom_site_fract_z
Rb1 0.000 0.000 0.000
Te1 0.500 0.500 0.500
Au1 0.000 0.000 0.500

Q) # RbTeAu3 (GGA-PBE, optimized geometry)
# calculated volume = 166 Å³/cell
# DOS(E_F) = 0.95 states/eV/cell
# total magnetization = 0.00 μB/atom
data_RbTeAu3
_chemical_formula_sum 'Rb1 Te1 Au3'
_cell_length_a 5.492
_cell_length_b 5.492
_cell_length_c 5.492
_cell_angle_alpha 90.00
_cell_angle_beta 90.00
_cell_angle_gamma 90.00
_symmetry_space_group_name_H-M 'P m -3 m'
_symmetry_Int_Tables_number 221
_symmetry_space_group_name_Hall '-P 4 2 3'
loop_
_atom_site_label
_atom_site_fract_x
_atom_site_fract_y
_atom_site_fract_z
Rb1 0.000 0.000 0.000
Te1 0.500 0.500 0.500
Au1 0.000 0.500 0.500

Structures ranked by computed energy, the most stable listed first: Q), P).

P) # RbTi3Au (GGA-PBE, optimized geometry)
# calculated volume = 133 Å³/cell
# DOS(E_F) = 3.68 states/eV/cell
# total magnetization = 0.00 μB/atom
data_RbTi3Au
_chemical_formula_sum 'Rb1 Ti3 Au1'
_cell_length_a 5.109
_cell_length_b 5.109
_cell_length_c 5.109
_cell_angle_alpha 90.00
_cell_angle_beta 90.00
_cell_angle_gamma 90.00
_symmetry_space_group_name_H-M 'P m -3 m'
_symmetry_Int_Tables_number 221
_symmetry_space_group_name_Hall '-P 4 2 3'
loop_
_atom_site_label
_atom_site_fract_x
_atom_site_fract_y
_atom_site_fract_z
Rb1 0.000 0.000 0.000
Ti1 0.000 0.500 0.500
Au1 0.500 0.500 0.500

Q) # RbTi3Au (GGA-PBE, optimized geometry)
# calculated volume = 102 Å³/cell
# DOS(E_F) = 4.44 states/eV/cell
# total magnetization = 0.65 μB/atom
data_RbTi3Au
_chemical_formula_sum 'Rb1 Ti3 Au1'
_cell_length_a 4.679
_cell_length_b 4.679
_cell_length_c 4.679
_cell_angle_alpha 90.00
_cell_angle_beta 90.00
_cell_angle_gamma 90.00
_symmetry_space_group_name_H-M 'P m -3 m'
_symmetry_Int_Tables_number 221
_symmetry_space_group_name_Hall '-P 4 2 3'
loop_
_atom_site_label
_atom_site_fract_x
_atom_site_fract_y
_atom_site_fract_z
Rb1 0.000 0.000 0.000
Ti1 0.000 0.000 0.500
Au1 0.500 0.500 0.500

Structures ranked by computed energy, the most stable listed first: P), Q).

P) # RbTi2Au (GGA-PBE, optimized geometry)
# calculated volume = 323 Å³/cell
# DOS(E_F) = 26.18 states/eV/cell
# total magnetization = 0.00 μB/atom
data_RbTi2Au
_chemical_formula_sum 'Rb4 Ti8 Au4'
_cell_length_a 6.858
_cell_length_b 6.858
_cell_length_c 6.858
_cell_angle_alpha 90.00
_cell_angle_beta 90.00
_cell_angle_gamma 90.00
_symmetry_space_group_name_H-M 'F m -3 m'
_symmetry_Int_Tables_number 225
_symmetry_space_group_name_Hall '-F 4 2 3'
loop_
_atom_site_label
_atom_site_fract_x
_atom_site_fract_y
_atom_site_fract_z
Rb1 0.000 0.000 0.000
Ti1 0.250 0.250 0.250
Au1 0.000 0.000 0.500

Q) # RbTi2Au (GGA-PBE, optimized geometry)
# calculated volume = 471 Å³/cell
# DOS(E_F) = 24.89 states/eV/cell
# total magnetization = 0.00 μB/atom
data_RbTi2Au
_chemical_formula_sum 'Rb4 Ti8 Au4'
_cell_length_a 4.841
_cell_length_b 4.841
_cell_length_c 20.119
_cell_angle_alpha 90.00
_cell_angle_beta 90.00
_cell_angle_gamma 90.00
_symmetry_space_group_name_H-M 'I 41/a m d'
_symmetry_Int_Tables_number 141
loop_
_symmetry_equiv_pos_as_xyz
'x,y,z'
'-x,-y,-z'
'-y+1/4,x+3/4,z+1/4'
'y+1/4,-x+3/4,-z+1/4'
'-x+1/2,-y,z+1/2'
'x+1/2,y,-z+1/2'
'y+1/4,-x+1/4,z+3/4'
'-y+1/4,x+1/4,-z+3/4'
'x,-y,-z'
'-x,y,z'
'-y+1/4,-x+1/4,-z+3/4'
'y+1/4,x+1/4,z+3/4'
'-x+1/2,y,-z+1/2'
'x+1/2,-y,z+1/2'
'y+1/4,x+3/4,-z+1/4'
'-y+1/4,-x+3/4,z+1/4'
'x+1/2,y+1/2,z+1/2'
'-x+1/2,-y+1/2,-z+1/2'
'-y+3/4,x+1/4,z+3/4'
'y+3/4,-x+1/4,-z+3/4'
'-x,-y+1/2,z'
'x,y+1/2,-z'
'y+3/4,-x+3/4,z+1/4'
'-y+3/4,x+3/4,-z+1/4'
'x+1/2,-y+1/2,-z+1/2'
'-x+1/2,y+1/2,z+1/2'
'-y+3/4,-x+3/4,-z+1/4'
'y+3/4,x+3/4,z+1/4'
'-x,y+1/2,-z'
'x,-y+1/2,z'
'y+3/4,x+1/4,-z+3/4'
'-y+3/4,-x+1/4,z+3/4'
loop_
_atom_site_label
_atom_site_fract_x
_atom_site_fract_y
_atom_site_fract_z
Rb1 0.000 0.250 0.375
Ti1 0.000 0.000 0.000
Au1 0.000 0.250 0.875

Structures ranked by computed energy, the most stable listed first: Q), P).